An optimized crystal structure of MnCr2Os, computed with PBE-GGA.

Computed properties:
- Energy relative to the elements: 83 meV per atom
- Final energy: -39.3 eV for the cell shown

Lattice parameters (Å, degrees): 2.998 4.124 4.145 90.00 90.00 90.00
Space group Pmmm (No. 47)
One atom of each set of equivalent atoms:
Mn  0.000  0.000  0.000 [1 per cell]
Cr  0.000  0.500  0.500 [1 per cell]
Cr  0.500  0.500  0.000 [1 per cell]
Os  0.500  0.000  0.500 [1 per cell]



An optimized crystal structure of MnCrOs4Ru2, computed with PBE-GGA.

Computed properties:
- Energy relative to the elements: 888 meV per atom
- Final energy: -300.6 eV for the cell shown

Lattice parameters (Å, degrees): 5.191 9.043 10.138 90.00 90.00 90.00
Space group Imma (No. 74)
One atom of each set of equivalent atoms:
Mn  0.000  0.000  0.000 [4 per cell]
Cr  0.250  0.250  0.250 [4 per cell]
Os  0.000  0.005  0.218 [8 per cell]
Os  0.246  0.250  0.022 [8 per cell]
Ru  0.000  0.000  0.500 [4 per cell]
Ru  0.250  0.250  0.750 [4 per cell]



An optimized crystal structure of MnCrSiOs, computed with PBE-GGA.

Computed properties:
- ΔE_f (raw): -0.25 eV per atom
- Final energy: -145.8 eV for the cell shown

Lattice parameters (Å, degrees): 5.872 5.872 5.872 90.00 90.00 90.00
Space group F-43m (No. 216)
One atom of each set of equivalent atoms:
Mn  0.000  0.000  0.000 [4 per cell]
Cr  0.250  0.250  0.250 [4 per cell]
Si  0.000  0.000  0.500 [4 per cell]
Os  0.250  0.250  0.750 [4 per cell]



An optimized crystal structure of MnCr2SiOs, computed with PBE-GGA.

Computed properties:
- ΔE_f (raw): 1.39 eV per atom
- Final energy: -38.1 eV for the cell shown

Lattice parameters (Å, degrees): 4.599 4.599 4.786 90.00 90.00 90.00
Space group P4/mmm (No. 123)
One atom of each set of equivalent atoms:
Mn  0.000  0.000  0.000 [1 per cell]
Cr  0.000  0.500  0.500 [2 per cell]
Si  0.500  0.500  0.000 [1 per cell]
Os  0.000  0.000  0.500 [1 per cell]



An optimized crystal structure of MnCrSiOs, computed with PBE-GGA.

Computed properties:
- ΔE_f (raw): -0.23 eV per atom
- Final energy: -145.4 eV for the cell shown

Lattice parameters (Å, degrees): 5.807 5.807 5.807 90.00 90.00 90.00
Space group F-43m (No. 216)
One atom of each set of equivalent atoms:
Mn  0.000  0.000  0.000 [4 per cell]
Cr  0.250  0.250  0.250 [4 per cell]
Si  0.250  0.250  0.750 [4 per cell]
Os  0.000  0.000  0.500 [4 per cell]



An optimized crystal structure of Mn5CrP3, computed with PBE-GGA.

Computed properties:
- Energy relative to the elements: -219 meV per atom
- Final energy: -294.7 eV for the cell shown

Lattice parameters (Å, degrees): 2.823 12.271 12.525 90.00 90.00 90.00
Space group Cmcm (No. 63)
One atom of each set of equivalent atoms:
Mn  0.000  0.000  0.000 [4 per cell]
Mn  0.000  0.193  0.080 [8 per cell]
Mn  0.000  0.469  0.658 [8 per cell]
Cr  0.000  0.166  0.750 [4 per cell]
P  0.000  0.149  0.250 [4 per cell]
P  0.000  0.369  0.058 [8 per cell]



An optimized crystal structure of Mn3CrP4, computed with PBE-GGA.

Computed properties:
- Energy relative to the elements: -590 meV per atom
- Final energy: -63.5 eV for the cell shown

Lattice parameters (Å, degrees): 5.257 3.125 5.914 90.00 90.15 90.00
Space group Pm (No. 6)
One atom of each set of equivalent atoms:
Mn  0.000  0.000  0.000 [1 per cell]
Mn  0.008  0.500  0.608 [1 per cell]
Mn  0.500  0.000  0.106 [1 per cell]
Cr  0.510  0.500  0.498 [1 per cell]
P  0.193  0.500  0.234 [1 per cell]
P  0.314  0.000  0.737 [1 per cell]
P  0.692  0.500  0.872 [1 per cell]
P  0.818  0.000  0.370 [1 per cell]



An optimized crystal structure of Mn2Cr2P, computed with PBE-GGA.

Computed properties:
- Energy relative to the elements: 356 meV per atom
- Final energy: -82.4 eV for the cell shown

Lattice parameters (Å, degrees): 6.651 6.651 2.718 90.00 90.00 90.00
Space group P4/mbm (No. 127)
One atom of each set of equivalent atoms:
Mn  0.142  0.358  0.000 [4 per cell]
Cr  0.150  0.650  0.500 [4 per cell]
P  0.000  0.000  0.500 [2 per cell]